{"formula": "ScPtNF2", "functional": "SCAN", "state": "single point on PBEsol structure", "cell": [[3.811, 0.000, 0.000], [0.000, 3.811, 0.000], [0.000, 0.000, 4.577]], "species": ["F", "F", "N", "Pt", "Sc"], "frac_coords": [[0.000, 0.500, 0.000], [0.500, 0.000, 0.000], [0.000, 0.000, 0.500], [0.500, 0.500, 0.500], [0.000, 0.000, 0.000]], "energy_ev_per_atom": -21.410, "formation_energy_uncorrected_kj_per_mol_atoms": -121, "total_magnetization_mub_per_cell": 0.125}